No. 1
# Ho3Tl3InTe8 PBE optimized geometry
# Energy relative to the elements, uncorrected: -0.829 eV/atom
# V: 36.24 A^3/atom
# Total magnetic moment: 0.00 μB/cell
data_Ho3Tl3InTe8
_chemical_formula_sum 'Ho6 Tl6 In2 Te16'
_cell_length_a 15.1684
_cell_length_b 8.7673
_cell_length_c 9.6063
_cell_angle_alpha 90.00
_cell_angle_beta 121.69
_cell_angle_gamma 90.00
_symmetry_space_group_name_H-M 'C 1 2/m 1'
_symmetry_Int_Tables_number 12
_symmetry_space_group_name_Hall '-C 2y'
loop_
_atom_site_label
_atom_site_type_symbol
_atom_site_fract_x
_atom_site_fract_y
_atom_site_fract_z
Ho1 Ho 0.0000 0.0000 0.0000
Ho2 Ho 0.2500 0.2500 0.0000
Tl1 Tl 0.0000 0.5000 0.5000
Tl2 Tl 0.2500 0.2500 0.5000
In1 In 0.0000 0.5000 0.0000
Te1 Te 0.0121 0.2524 0.7890
Te2 Te 0.2358 0.5000 0.2113
Te3 Te 0.2384 0.0000 0.2152

=====

No. 2
# Ho2Tl3InTe6 PBE optimized geometry
# Energy relative to the elements, uncorrected: -0.773 eV/atom
# V: 34.66 A^3/atom
# Total magnetic moment: 0.00 μB/cell
data_Ho2Tl3InTe6
_chemical_formula_sum 'Ho4 Tl6 In2 Te12'
_cell_length_a 7.6928
_cell_length_b 13.3177
_cell_length_c 8.5151
_cell_angle_alpha 90.00
_cell_angle_beta 107.55
_cell_angle_gamma 90.00
_symmetry_space_group_name_H-M 'C 1 2/m 1'
_symmetry_Int_Tables_number 12
_symmetry_space_group_name_Hall '-C 2y'
loop_
_atom_site_label
_atom_site_type_symbol
_atom_site_fract_x
_atom_site_fract_y
_atom_site_fract_z
Ho1 Ho 0.0000 0.1656 0.0000
Tl1 Tl 0.0000 0.0000 0.5000
Tl2 Tl 0.0000 0.3288 0.5000
In1 In 0.0000 0.5000 0.0000
Te1 Te 0.2337 0.3356 0.2094
Te2 Te 0.2416 0.0000 0.2143

=====

No. 3
# HoTlInTe3 PBE optimized geometry
# Energy relative to the elements, uncorrected: -0.700 eV/atom
# V: 39.14 A^3/atom
# Total magnetic moment: 0.00 μB/cell
data_HoTlInTe3
_chemical_formula_sum 'Ho2 Tl2 In2 Te6'
_cell_length_a 9.4398
_cell_length_b 4.4518
_cell_length_c 11.5496
_cell_angle_alpha 90.00
_cell_angle_beta 104.62
_cell_angle_gamma 90.00
_symmetry_space_group_name_H-M 'P 1 21/m 1'
_symmetry_Int_Tables_number 11
_symmetry_space_group_name_Hall '-P 2yb'
loop_
_atom_site_label
_atom_site_type_symbol
_atom_site_fract_x
_atom_site_fract_y
_atom_site_fract_z
Ho1 Ho 0.1627 0.2500 0.1215
Tl1 Tl 0.3083 0.7500 0.8068
In1 In 0.4574 0.7500 0.3686
Te1 Te 0.0515 0.2500 0.8492
Te2 Te 0.2653 0.2500 0.4058
Te3 Te 0.3855 0.7500 0.1041

=====

No. 4
# HoTl2InTe4 PBE optimized geometry
# Energy relative to the elements, uncorrected: -0.652 eV/atom
# V: 34.40 A^3/atom
# Total magnetic moment: 0.00 μB/cell
data_HoTl2InTe4
_chemical_formula_sum 'Ho1 Tl2 In1 Te4'
_cell_length_a 7.7598
_cell_length_b 4.3972
_cell_length_c 8.4832
_cell_angle_alpha 90.00
_cell_angle_beta 108.08
_cell_angle_gamma 90.00
_symmetry_space_group_name_H-M 'P 1 2/m 1'
_symmetry_Int_Tables_number 10
_symmetry_space_group_name_Hall '-P 2y'
loop_
_atom_site_label
_atom_site_type_symbol
_atom_site_fract_x
_atom_site_fract_y
_atom_site_fract_z
Ho1 Ho 0.0000 0.0000 0.0000
Tl1 Tl 0.0000 0.5000 0.5000
Tl2 Tl 0.5000 0.0000 0.5000
In1 In 0.5000 0.5000 0.0000
Te1 Te 0.2373 0.5000 0.2148
Te2 Te 0.2678 0.0000 0.7924